1.
PBE Ce4SiC, relaxed; raw formation energy = -0.21 eV per atom; uncorrected energy = -79.3 eV for the cell shown; total magnetization = 0.251 μB/atom
1.0
-4.313 3.995 -2.156
3.416 -2.457 -5.880
-3.678 -5.459 3.581
Ce C Si
8 2 2
Cartesian
-2.564 -5.160 1.932
-2.011 1.239 -6.387
-3.781 0.537 -0.641
-3.387 -2.185 -3.720
-0.793 -4.458 -3.814
-1.187 -1.736 -0.735
-2.422 -4.955 -1.610
-2.152 1.034 -2.845
-1.143 0.926 -0.546
-3.432 -4.847 -3.909
-4.161 -2.505 -0.865
-0.414 -1.416 -3.589

=====

2.
PBE CaMg3Hg3, relaxed; energy of formation from the pure elements = 0.07 eV per atom; uncorrected energy = -14.4 eV for the cell shown; total magnetization = 0.000 μB/atom
1.0
-0.147 5.677 5.075
1.423 -4.967 5.596
7.481 1.056 -0.965
Hg Mg Ca
6 6 2
Cartesian
0.601 1.774 6.605
4.807 -3.197 3.715
4.096 -0.714 0.917
5.537 3.630 1.814
1.797 3.102 2.296
0.675 -1.064 4.067
3.704 1.947 0.786
0.282 1.597 3.937
3.630 4.785 3.324
0.994 -0.887 6.735
6.322 -1.691 2.074
2.582 -2.219 2.557
4.378 0.883 4.853
0.000 0.000 0.000

=====

3.
PBE Pm2Cl3, relaxed; raw formation energy = -1.85 eV per atom; uncorrected energy = -48.6 eV for the cell shown; energy above the most stable polymorph in this dataset = 0 meV/atom; total magnetization = 0.000 μB/atom
1.0
-2.108 3.409 0.264
-3.587 0.713 -7.300
-9.288 -3.423 0.581
Cl Pm
6 4
Cartesian
-4.855 -0.282 -4.581
-11.049 -1.771 -4.265
-6.653 0.689 -0.910
-3.934 2.469 -2.190
-10.128 0.981 -1.875
-8.330 0.010 -5.545
-10.502 -1.683 -1.023
-8.079 2.629 -6.812
-4.481 2.382 -5.432
-6.904 -1.931 0.356

=====

4.
PBE NaTm2Tl, relaxed; energy of formation from the pure elements = -0.01 eV per atom; uncorrected energy = -12.7 eV for the cell shown; energy above the most stable polymorph in this dataset = 0 meV/atom; total magnetization = 0.000 μB/atom
1.0
-3.866 3.529 1.062
-1.662 0.709 5.027
1.156 4.531 2.581
Na Tl Tm
1 1 2
Cartesian
-2.186 4.384 4.335
0.000 0.000 0.000
-1.093 2.192 2.168
-3.280 6.577 6.503

=====

5.
PBE NaSiB, relaxed; raw formation energy = 0.27 eV per atom; uncorrected energy = -50.4 eV for the cell shown; total magnetization = 0.000 μB/atom
1.0
-0.699 -2.149 6.668
-5.274 -3.701 3.256
0.922 -5.806 0.658
B Si Na
4 4 4
Cartesian
-4.208 -3.491 3.244
-0.993 -2.355 5.643
-0.724 -3.764 2.237
-1.030 -2.059 2.017
0.466 -4.204 0.643
-5.404 -6.243 7.063
-3.398 -5.437 8.559
0.152 -1.603 0.422
-2.302 -4.405 4.738
-2.054 -7.246 4.909
-4.515 -9.233 6.667
-2.366 -8.246 8.271

=====

6.
PBE Tl6I3Br2Cl, relaxed; raw formation energy = -0.78 eV per atom; uncorrected energy = -33.5 eV for the cell shown; total magnetization = 0.000 μB/atom
1.0
8.417 -0.006 -0.001
-4.211 7.288 -0.001
-1.404 -2.431 7.952
I Tl Br Cl
3 6 2 1
Cartesian
5.565 0.021 3.975
-2.763 4.831 3.975
1.401 2.426 3.975
2.744 -0.004 1.826
-1.375 2.375 1.826
2.837 4.913 1.841
4.176 2.476 6.123
0.058 4.855 6.123
-0.036 -0.062 6.109
4.187 2.438 -0.001
0.019 4.845 -0.001
0.000 0.000 0.000

=====

7.
PBE ZnIr2Rh, relaxed; energy of formation from the pure elements = -0.07 eV per atom; uncorrected energy = -26.6 eV for the cell shown; total magnetization = 0.000 μB/atom
1.0
-2.425 -3.713 -1.597
1.759 -3.947 1.882
-1.395 4.058 1.950
Ir Rh Zn
2 1 1
Cartesian
0.000 0.000 0.000
-0.333 -3.830 0.142
0.016 -1.860 1.988
-2.076 -1.742 0.248

=====

8.
PBE InRePt2, relaxed; energy of formation from the pure elements = 0.17 eV per atom; uncorrected energy = -26.6 eV for the cell shown; total magnetization = 0.295 μB/atom
1.0
3.998 0.000 0.000
0.000 3.998 0.000
0.000 0.000 4.143
In Re Pt
1 1 2
Cartesian
0.000 1.999 2.072
1.999 0.000 2.072
1.999 1.999 0.000
0.000 0.000 0.000